Compound: Cs2CoSiO4
Source: the Alexandria database
Functional: PBE with a Hubbard U
Structure: relaxed

Properties
Energy above the most stable polymorph in this dataset: 0 meV per atom
Spin magnetization: 6.00 μB/cell
Symmetry: Cmc2_1 (36)
Energy: -6.002 eV per atom
V: 19.4 Å³ per atom

Unit cell a=7.0541 b=7.0541 c=8.2318 alpha=90.00 beta=90.00 gamma=130.67
Atoms (fractional coordinates):
Cs 0.0781 0.9219 0.5000
Cs 0.4069 0.5931 0.3580
Cs 0.5931 0.4069 0.8580
Cs 0.9219 0.0781 0.0000
Co 0.2072 0.7928 0.0803
Co 0.7928 0.2072 0.5803
Si 0.3010 0.6990 0.7948
Si 0.6990 0.3010 0.2948
O 0.1105 0.4335 0.6936
O 0.1736 0.8264 0.8367
O 0.3537 0.6463 0.9805
O 0.4335 0.1105 0.1936
O 0.5665 0.8895 0.6936
O 0.6463 0.3537 0.4805
O 0.8264 0.1736 0.3367
O 0.8895 0.5665 0.1936